No. 1
First-principles (PBE-GGA) data for a relaxed structure of LiFe6Ge6, as listed in Alexandria.

- Energy above the most stable polymorph in this dataset: 6 meV per atom
- Total moment: 0.676 μB/atom

Unit cell a=5.0174 b=8.0022 c=8.6682 alpha=90.00 beta=90.00 gamma=90.00
Space group Immm (No. 71)
One atom of each set of equivalent atoms:
1 Li 0.0000 0.0000 0.0000 [2 per cell]
2 Fe 0.0000 0.2464 0.5000 [4 per cell]
3 Fe 0.2500 0.2500 0.2500 [8 per cell]
4 Ge 0.0000 0.0000 0.3281 [4 per cell]
5 Ge 0.0000 0.3378 0.0000 [4 per cell]
6 Ge 0.0000 0.5000 0.3391 [4 per cell]

No. 2
First-principles (PBE-GGA) data for a relaxed structure of Ba2Zn3BiAu4, as listed in Alexandria.

- Calculated total energy: -2.96 eV/atom
- Total moment: 0.000 μB/atom

Unit cell a=4.7570 b=4.7570 c=11.0636 alpha=90.00 beta=90.00 gamma=90.00
Space group P-4m2 (No. 115)
One atom of each set of equivalent atoms:
1 Ba 0.0000 0.5000 0.2379 [2 per cell]
2 Zn 0.0000 0.5000 0.8899 [2 per cell]
3 Zn 0.5000 0.5000 0.5000 [1 per cell]
4 Bi 0.0000 0.0000 0.5000 [1 per cell]
5 Au 0.0000 0.0000 0.0000 [1 per cell]
6 Au 0.0000 0.5000 0.6552 [2 per cell]
7 Au 0.5000 0.5000 0.0000 [1 per cell]

No. 3
First-principles (PBE-GGA) data for a relaxed structure of InNiSe2, as listed in Alexandria.

- Uncorrected formation energy: 6.11 kcal/mol of atoms
- Total moment: 0.000 μB/atom

Unit cell a=4.8020 b=4.8020 c=3.3510 alpha=90.00 beta=90.00 gamma=90.00
Space group P4/mmm (No. 123)
One atom of each set of equivalent atoms:
1 In 0.0000 0.0000 0.0000 [1 per cell]
2 Ni 0.5000 0.5000 0.0000 [1 per cell]
3 Se 0.0000 0.5000 0.5000 [2 per cell]

No. 4
First-principles (PBE-GGA) data for a relaxed structure of Fe2CuBr, as listed in Alexandria.

- Energy above the most stable polymorph in this dataset: 343 meV per atom
- Uncorrected formation energy: 15.82 kcal/mol of atoms
- Total moment: 1.419 μB/atom

Unit cell a=3.1576 b=4.2606 c=8.7103 alpha=90.00 beta=90.00 gamma=90.00
Space group Immm (No. 71)
One atom of each set of equivalent atoms:
1 Fe 0.0000 0.0000 0.2491 [4 per cell]
2 Cu 0.0000 0.5000 0.0000 [2 per cell]
3 Br 0.0000 0.5000 0.5000 [2 per cell]

No. 5
First-principles (PBE-GGA) data for a relaxed structure of HWS2, as listed in Alexandria.

- Energy above the most stable polymorph in this dataset: 0 meV per atom
- Total moment: 0.000 μB/atom

Unit cell a=3.2957 b=3.2957 c=19.0270 alpha=90.00 beta=90.00 gamma=120.00
Space group R-3m (No. 166, hexagonal axes)
One atom of each set of equivalent atoms:
1 H 0.0000 0.0000 0.0000 [3 per cell]
2 W 0.0000 0.0000 0.5000 [3 per cell]
3 S 0.0000 0.0000 0.0864 [6 per cell]

No. 6
First-principles (PBE-GGA) data for a relaxed structure of CeTh2Tc2, as listed in Alexandria.

- Calculated total energy: -8.44 eV/atom
- Total moment: 0.000 μB/atom

Unit cell a=10.3560 b=5.9259 c=8.0743 alpha=90.00 beta=104.57 gamma=90.00
Space group C2/c (No. 15)
One atom of each set of equivalent atoms:
1 Ce 0.0000 0.1493 0.2500 [4 per cell]
2 Th 0.1497 0.3604 0.6558 [8 per cell]
3 Tc 0.1325 0.1422 0.0224 [8 per cell]

No. 7
First-principles (PBE-GGA) data for a relaxed structure of LiAcHo, as listed in Alexandria.

- Energy above the most stable polymorph in this dataset: 24 meV per atom
- Total moment: 0.000 μB/atom

Unit cell a=11.6751 b=5.4369 c=7.2475 alpha=90.00 beta=123.73 gamma=90.00
Space group C2/m (No. 12)
One atom of each set of equivalent atoms:
1 Li 0.1420 0.0000 0.1205 [4 per cell]
2 Ac 0.0475 0.5000 0.7928 [4 per cell]
3 Ho 0.1777 0.0000 0.5823 [4 per cell]

No. 8
First-principles (PBE-GGA) data for a relaxed structure of RbHg3Pd, as listed in Alexandria.

- Energy above the most stable polymorph in this dataset: 63 meV per atom
- Total moment: 0.000 μB/atom

Unit cell a=6.3257 b=6.7537 c=7.5538 alpha=77.05 beta=87.51 gamma=80.35
Space group P1 (No. 1)
One atom of each set of equivalent atoms:
1 Rb 0.0000 0.0000 0.0000 [1 per cell]
2 Rb 0.4907 0.7225 0.3875 [1 per cell]
3 Hg 0.0097 0.3666 0.5709 [1 per cell]
4 Hg 0.4591 0.2835 0.1214 [1 per cell]
5 Hg 0.5006 0.2055 0.6933 [1 per cell]
6 Hg 0.5402 0.7295 0.8712 [1 per cell]
7 Hg 0.9462 0.4662 0.1260 [1 per cell]
8 Hg 0.9701 0.8360 0.5888 [1 per cell]
9 Pd 0.2136 0.5067 0.8241 [1 per cell]
10 Pd 0.7544 0.1947 0.3889 [1 per cell]

No. 9
First-principles (PBE-GGA) data for a relaxed structure of AsPbCl, as listed in Alexandria.

- Energy above the most stable polymorph in this dataset: 0 meV per atom
- Uncorrected formation energy: -8.99 kcal/mol of atoms
- Total moment: 0.000 μB/atom

Unit cell a=7.6577 b=3.7373 c=12.4636 alpha=90.00 beta=91.47 gamma=90.00
Space group C2/m (No. 12)
One atom of each set of equivalent atoms:
1 As 0.1704 0.0000 0.4500 [4 per cell]
2 Pb 0.1556 0.0000 0.7284 [4 per cell]
3 Cl 0.1510 0.0000 0.1336 [4 per cell]

No. 10
First-principles (PBE-GGA) data for a relaxed structure of La6Al2In, as listed in Alexandria.

- Energy above the most stable polymorph in this dataset: 348 meV per atom
- Total moment: 0.000 μB/atom

Unit cell a=7.9548 b=7.9548 c=11.1358 alpha=90.00 beta=90.00 gamma=90.00
Space group P4_2/mnm (No. 136)
One atom of each set of equivalent atoms:
1 La 0.2128 0.2128 0.0000 [4 per cell]
2 La 0.2269 0.2269 0.3275 [8 per cell]
3 Al 0.0000 0.0000 0.1716 [4 per cell]
4 In 0.0000 0.0000 0.5000 [2 per cell]

No. 11
First-principles (PBE-GGA) data for a relaxed structure of BeMo2W, as listed in Alexandria.

- Calculated total energy: -9.40 eV/atom
- Total moment: 0.000 μB/atom

Unit cell a=3.4914 b=4.0611 c=4.0716 alpha=90.00 beta=90.00 gamma=90.00
Space group Pmmm (No. 47)
One atom of each set of equivalent atoms:
1 Be 0.0000 0.0000 0.0000 [1 per cell]
2 Mo 0.0000 0.5000 0.5000 [1 per cell]
3 Mo 0.5000 0.0000 0.5000 [1 per cell]
4 W 0.5000 0.5000 0.0000 [1 per cell]

No. 12
First-principles (PBE-GGA) data for a relaxed structure of LaPmPr2Ho4, as listed in Alexandria.

- Calculated total energy: -4.67 eV/atom
- Total moment: 0.000 μB/atom

Unit cell a=7.2883 b=10.0511 c=7.3082 alpha=90.00 beta=90.10 gamma=90.00
Space group P2/m (No. 10)
One atom of each set of equivalent atoms:
1 La 0.0000 0.0000 0.0000 [1 per cell]
2 La 0.5000 0.0000 0.0000 [1 per cell]
3 Pm 0.0000 0.0000 0.5000 [1 per cell]
4 Pm 0.0000 0.5000 0.0000 [1 per cell]
5 Pr 0.0000 0.5000 0.5000 [1 per cell]
6 Pr 0.5000 0.0000 0.5000 [1 per cell]
7 Pr 0.5000 0.5000 0.0000 [1 per cell]
8 Pr 0.5000 0.5000 0.5000 [1 per cell]
9 Ho 0.2488 0.2508 0.2508 [4 per cell]
10 Ho 0.2491 0.2508 0.7492 [4 per cell]

No. 13
First-principles (PBE-GGA) data for a relaxed structure of CaReNi2, as listed in Alexandria.

- Energy above the most stable polymorph in this dataset: 112 meV per atom
- Total moment: 0.000 μB/atom

Unit cell a=9.7649 b=2.6499 c=4.7402 alpha=90.00 beta=105.52 gamma=90.00
Space group Cm (No. 8)
One atom of each set of equivalent atoms:
1 Ca 0.0000 0.0000 0.0000 [2 per cell]
2 Re 0.2100 0.0000 0.6134 [2 per cell]
3 Ni 0.2620 0.5000 0.1568 [2 per cell]
4 Ni 0.4668 0.0000 0.4944 [2 per cell]

No. 14
First-principles (PBE-GGA) data for a relaxed structure of Ce11Tl9Pd4, as listed in Alexandria.

- Calculated total energy: -4.90 eV/atom
- Total moment: 0.394 μB/atom

Unit cell a=15.3636 b=21.8553 c=3.7684 alpha=90.00 beta=90.00 gamma=90.00
Space group Cmmm (No. 65)
One atom of each set of equivalent atoms:
1 Ce 0.0000 0.0000 0.0000 [2 per cell]
2 Ce 0.0000 0.1501 0.0000 [4 per cell]
3 Ce 0.0000 0.3707 0.0000 [4 per cell]
4 Ce 0.1890 0.5000 0.0000 [4 per cell]
5 Ce 0.2466 0.1836 0.0000 [8 per cell]
6 Tl 0.0000 0.5000 0.5000 [2 per cell]
7 Tl 0.1002 0.2588 0.5000 [8 per cell]
8 Tl 0.1517 0.0741 0.5000 [8 per cell]
9 Pd 0.1496 0.3972 0.5000 [8 per cell]

No. 15
First-principles (PBE-GGA) data for a relaxed structure of LiMgB14, as listed in Alexandria.

- Calculated total energy: -6.18 eV/atom
- Total moment: 0.000 μB/atom

Unit cell a=5.9155 b=10.2272 c=8.0255 alpha=90.00 beta=90.00 gamma=90.00
Space group Imma (No. 74)
One atom of each set of equivalent atoms:
1 Li 0.2500 0.2500 0.2500 [4 per cell]
2 Mg 0.0000 0.2500 0.6485 [4 per cell]
3 B 0.0000 0.0859 0.1768 [8 per cell]
4 B 0.0000 0.1569 0.3848 [8 per cell]
5 B 0.0000 0.1671 0.9760 [8 per cell]
6 B 0.1572 0.0640 0.8370 [16 per cell]
7 B 0.2476 0.0804 0.0477 [16 per cell]

No. 16
First-principles (PBE-GGA) data for a relaxed structure of Fe2Hg2I5, as listed in Alexandria.

- Uncorrected formation energy: -0.77 kcal/mol of atoms
- Total moment: 1.001 μB/atom

Unit cell a=6.9943 b=7.5889 c=8.4265 alpha=77.33 beta=85.19 gamma=75.02
Space group P-1 (No. 2)
One atom of each set of equivalent atoms:
1 Fe 0.1169 0.2223 0.2431 [2 per cell]
2 Hg 0.2391 0.7958 0.6233 [2 per cell]
3 I 0.0000 0.5000 0.0000 [1 per cell]
4 I 0.2583 0.9149 0.1659 [2 per cell]
5 I 0.2906 0.3019 0.4615 [2 per cell]

No. 17
First-principles (PBE-GGA) data for a relaxed structure of Hf4TiOs3, as listed in Alexandria.

- Calculated total energy: -10.69 eV/atom
- Total moment: 0.000 μB/atom

Unit cell a=3.2510 b=4.6491 c=9.3384 alpha=90.00 beta=90.00 gamma=90.00
Space group Pmmm (No. 47)
One atom of each set of equivalent atoms:
1 Hf 0.0000 0.0000 0.0000 [1 per cell]
2 Hf 0.0000 0.0000 0.5000 [1 per cell]
3 Hf 0.0000 0.5000 0.2412 [2 per cell]
4 Ti 0.5000 0.5000 0.5000 [1 per cell]
5 Os 0.5000 0.0000 0.2509 [2 per cell]
6 Os 0.5000 0.5000 0.0000 [1 per cell]

No. 18
First-principles (PBE-GGA) data for a relaxed structure of MnV3In, as listed in Alexandria.

- Energy above the most stable polymorph in this dataset: 0 meV per atom
- Total moment: 0.000 μB/atom

Unit cell a=4.3594 b=4.3594 c=4.3594 alpha=90.00 beta=90.00 gamma=90.00
Space group Pm-3m (No. 221)
One atom of each set of equivalent atoms:
1 Mn 0.0000 0.0000 0.0000 [1 per cell]
2 V 0.0000 0.0000 0.5000 [3 per cell]
3 In 0.5000 0.5000 0.5000 [1 per cell]